This record from Alexandria via LeMat-Bulk describes crystalline LiPm3Zn2 at its relaxed geometry. The functional is PBE-GGA.

**E_tot**: -3.311 eV/atom

Cell: 5.210 5.210 12.788 Å, 90.00 90.00 120.00°
Element x y z (fractional)
Pm 0.333 0.667 0.418
Pm 0.000 0.000 0.245
Pm 0.333 0.667 0.922
Pm 0.667 0.333 0.582
Pm 0.000 0.000 0.755
Pm 0.667 0.333 0.078
Zn 0.000 0.000 0.500
Zn 0.000 0.000 0.000
Zn 0.333 0.667 0.173
Zn 0.667 0.333 0.827
Li 0.667 0.333 0.330
Li 0.333 0.667 0.670



This record from Alexandria via LeMat-Bulk describes crystalline Ca5MgCu2 at its relaxed geometry. The functional is PBE-GGA.

**E_tot**: -2.494 eV/atom

Cell: 4.061 7.765 9.035 Å, 115.45 102.99 90.00°
Element x y z (fractional)
Ca 0.000 0.500 0.000
Ca 0.650 0.386 0.300
Ca 0.650 0.914 0.300
Ca 0.350 0.614 0.700
Ca 0.350 0.086 0.700
Cu 0.806 0.306 0.612
Cu 0.194 0.694 0.388
Mg 0.000 0.000 0.000



This record from Alexandria via LeMat-Bulk describes crystalline ThMn9Si4 at its relaxed geometry. The functional is PBE-GGA.

**E_tot**: -8.390 eV/atom
**ΔE_f (raw)**: -0.42 eV per atom

Cell: 7.866 7.866 8.050 Å, 119.25 119.25 90.00°
Element x y z (fractional)
Mn 0.056 0.796 0.353
Mn 0.500 0.000 0.000
Mn 0.191 0.942 0.000
Mn 0.058 0.191 0.000
Mn 0.309 0.442 0.000
Mn 0.204 0.704 0.647
Mn 0.796 0.296 0.353
Mn 0.000 0.500 0.000
Mn 0.556 0.056 0.353
Mn 0.944 0.204 0.647
Mn 0.809 0.058 0.000
Mn 0.942 0.809 0.000
Mn 0.442 0.691 0.000
Mn 0.691 0.558 0.000
Mn 0.296 0.556 0.353
Mn 0.704 0.444 0.647
Mn 0.444 0.944 0.647
Mn 0.558 0.309 0.000
Si 0.704 0.204 0.758
Si 0.796 0.946 0.242
Si 0.946 0.446 0.242
Si 0.554 0.704 0.758
Si 0.204 0.054 0.758
Si 0.446 0.296 0.242
Si 0.296 0.796 0.242
Si 0.054 0.554 0.758
Th 0.250 0.250 0.500
Th 0.750 0.750 0.500



This record from Alexandria via LeMat-Bulk describes crystalline K2AgSb at its relaxed geometry. The functional is PBE-GGA.

**E_tot**: -2.367 eV/atom
**ΔE_f (raw)**: -0.07 eV per atom

Cell: 5.194 3.917 7.412 Å, 58.47 90.00 90.00°
Element x y z (fractional)
K 0.000 0.991 0.005
K 0.000 0.509 0.495
Sb 0.500 0.250 0.250
Ag 0.500 0.750 0.750



Ordered N(E_F) results: 1.089 0.656 0.751 0.320; unit states/eV per atom.